# 1
The following is a PBE calculation of Na5BiS5 after structural relaxation, from Alexandria via LeMat-Bulk.

Computed properties:
VASP energy in eV per atom: -3.55
Symmetry: C2/m
Formation energy from raw total energies in eV/atom: -0.722
Total magnetization in Bohr magnetons per cell: 0.000

Cell: 5.5750 7.1478 7.9368 Å, 106.44 90.00 112.95°
Fractional coordinates of all 11 atoms:
Na  0.6819  0.3638  0.3147
Na  0.6808  0.3616  0.8625
Na  0.0000  0.0000  0.5000
Na  0.3192  0.6384  0.1375
Na  0.3181  0.6362  0.6853
Bi  0.0000  0.0000  0.0000
S  0.8577  0.7154  0.1724
S  0.8454  0.6907  0.6855
S  0.5000  0.0000  0.0000
S  0.1546  0.3093  0.3145
S  0.1423  0.2846  0.8276


# 2
The following is a PBE calculation of NaBiS2 after structural relaxation, from Alexandria via LeMat-Bulk.

Computed properties:
VASP energy in eV per atom: -4.11
Symmetry: R-3m
Formation energy from raw total energies in eV/atom: -0.749
Total magnetization in Bohr magnetons per cell: 0.000

Cell: 7.2111 7.2111 7.2111 Å, 32.74 32.74 32.74°
Fractional coordinates of all 4 atoms:
Na  0.5000  0.5000  0.5000
S  0.2541  0.2541  0.2541
S  0.7459  0.7459  0.7459
Bi  0.0000  0.0000  0.0000